The following is a PBE with a Hubbard U calculation of a geometry-optimized CoSnO2F structure, from Alexandria.

abc: 4.0534 4.0534 4.1833
angles: 90.00 90.00 90.00
Closest atoms and distances in Å follow each position.
Atoms (fractional coordinates):
Co 0.0000 0.0000 0.0000  4 F 2.87, 8 O 2.91
Sn 0.5000 0.5000 0.5000  4 O 2.03, 2 F 2.09
O 0.0000 0.5000 0.5000  2 Sn 2.03
O 0.5000 0.0000 0.5000  2 Sn 2.03
F 0.5000 0.5000 0.0000  2 Sn 2.09

Results
Uncorrected energy: -5.08 eV/atom
SG: P4/mmm, No. 123